The following is a DFT calculation (PBE) of Mn2CrOs after structural relaxation.

```
4
Lattice="-2.333 0.922 1.504 0.944 -1.453 2.356 2.926 4.645 1.691" Properties=species:S:1:pos:R:3 pbc="T T T"
Cr 1.573 3.334 3.241
Mn 2.901 4.604 1.677
Mn -0.015 0.814 2.323
Os 1.467 2.329 0.848
```

Values from the calculation:
- formation energy (meV/atom) = 107
- space group = P4mm
- D(E_F) (states/eV/cell) = 4.49
- final energy (eV per formula unit) = -38.76